[1]
This record from Alexandria via LeMat-Bulk describes a PBEsol-optimized structure of CdRhAu2. The functional is meta-GGA SCAN.

Computed properties:
The formation energy is -17 kJ/mol of formula units.

Cell and atoms, written as extended XYZ:
```
4
Lattice="-2.017 -0.950 1.943 -2.091 -1.384 -2.847 2.818 -5.122 0.420" Properties=species:S:1:pos:R:3 pbc="T T T"
Rh 0.064 -5.016 -0.136
Au 2.795 -5.081 0.417
Au -1.359 -2.430 -0.348
Cd 1.437 -2.612 0.214
```

[2]
This record from Alexandria via LeMat-Bulk describes a PBEsol-optimized structure of Cd2TeRhAu. The functional is meta-GGA SCAN.

Computed properties:
For the energy relative to the elements, uncorrected, the calculation gives 0.219 eV per atom.

Cell and atoms, written as extended XYZ:
```
5
Lattice="4.756 0.000 0.000 0.000 5.123 0.000 0.000 0.000 5.123" Properties=species:S:1:pos:R:3 pbc="T T T"
Rh 0.000 0.000 0.000
Te 2.378 0.000 0.000
Au 2.378 2.561 2.561
Cd 0.000 0.000 2.561
Cd 0.000 2.561 0.000
```

Energy? In order: -50.67; -39.98 eV/atom.